Density functional theory data (PBEsol) for NiIrSeBr2 after structural relaxation.

Lattice parameters (Å, degrees): 4.594 4.594 4.730 90.00 90.00 90.00
Site moments in Bohr magnetons follow the coordinates.
Element x y z (fractional)
Ni: 0.000 0.000 0.000  0.04
Se: 0.000 0.000 0.500  0.07
Br: 0.000 0.500 0.000  0.15
Br: 0.500 0.000 0.000  0.15
Ir: 0.500 0.500 0.500  1.60

Properties
The formation energy without anion corrections comes out at 1.046 eV per atom. As for the space group: P4/mmm.

***

Density functional theory data (PBEsol) for Ca2SbPt after structural relaxation.

Lattice parameters (Å, degrees): 3.607 4.788 6.425 111.88 106.30 90.00
Element x y z (fractional)
Pt: 0.515 0.015 0.029
Sb: 0.198 0.198 0.395
Ca: 0.792 0.792 0.583
Ca: 0.996 0.496 0.992

Properties
The formation energy without anion corrections comes out at -0.777 eV per atom. As for the space group: Imm2.

***

Density functional theory data (PBEsol) for LiHg2Os after structural relaxation.

Lattice parameters (Å, degrees): 4.552 4.552 4.552 60.00 60.00 60.00
Element x y z (fractional)
Hg: 0.000 0.000 0.000
Hg: 0.750 0.750 0.750
Li: 0.500 0.500 0.500
Os: 0.250 0.250 0.250

Properties
As for the space group: F-43m. The value obtained for the energy of formation is 0.6372 eV/atom. As for the relative energy among the computed polymorphs: 312 meV per atom.

***

Density functional theory data (PBEsol) for CaCdP after structural relaxation.

Lattice parameters (Å, degrees): 4.669 4.669 4.669 60.00 60.00 60.00
Element x y z (fractional)
Ca: 0.500 0.500 0.500
Cd: 0.250 0.250 0.250
P: 0.000 0.000 0.000

Properties
As for the space group: F-43m. The value obtained for the energy of formation is -0.1793 eV/atom. As for the relative energy among the computed polymorphs: 140 meV per atom.

***

In order of appearance, DFT total energy = -0.2696 -0.3472 -0.2346 -0.2366 Ry/atom.